DFT (PBE) results for a relaxed CaBRh crystal.

The structure in CIF format:
```
data_CaBRh
_cell_length_a 4.5138
_cell_length_b 3.6012
_cell_length_c 3.6012
_cell_angle_alpha 120.00
_cell_angle_beta 90.00
_cell_angle_gamma 90.00
_space_group_name_H-M_alt 'P 1'
_space_group_IT_number 1
loop_
_space_group_symop_operation_xyz
'x,y,z'
loop_
_atom_site_label
_atom_site_type_symbol
_atom_site_fract_x
_atom_site_fract_y
_atom_site_fract_z
Ca1 Ca 0.6667 0.6667 0.3333
B1 B 0.1666 0.0000 0.0000
Rh1 Rh 0.1667 0.3333 0.6667
```

Output
* VASP energy: -5.772 eV per atom
* total magnetization: 0.00 μB per cell
* DFT formation energy: -0.43 eV/atom
* theoretical density: 5.038 Mg/m³
* SG: No. 187

=====

DFT (PBE) results for a relaxed CaBRh crystal.

The structure in CIF format:
```
data_CaBRh
_cell_length_a 4.0705
_cell_length_b 7.9934
_cell_length_c 8.3259
_cell_angle_alpha 64.18
_cell_angle_beta 57.82
_cell_angle_gamma 63.41
_space_group_name_H-M_alt 'P 1'
_space_group_IT_number 1
loop_
_space_group_symop_operation_xyz
'x,y,z'
loop_
_atom_site_label
_atom_site_type_symbol
_atom_site_fract_x
_atom_site_fract_y
_atom_site_fract_z
Ca1 Ca 0.1058 0.6778 0.9807
Ca2 Ca 0.8661 0.8018 0.5927
Ca3 Ca 0.8942 0.3222 0.0193
Ca4 Ca 0.1339 0.1982 0.4073
Rh1 Rh 0.2416 0.3799 0.6035
Rh2 Rh 0.2787 0.8769 0.1691
Rh3 Rh 0.7584 0.6201 0.3965
Rh4 Rh 0.7213 0.1231 0.8309
B1 B 0.6059 0.4302 0.6894
B2 B 0.7572 0.9805 0.1131
B3 B 0.3941 0.5698 0.3106
B4 B 0.2428 0.0195 0.8869
```

Output
* VASP energy: -5.635 eV per atom
* total magnetization: 0.00 μB per cell
* DFT formation energy: -0.29 eV/atom
* theoretical density: 5.161 Mg/m³
* SG: No. 2

=====

DFT (PBE) results for a relaxed Ca2BRh2 crystal.

The structure in CIF format:
```
data_Ca2BRh2
_cell_length_a 6.0833
_cell_length_b 6.0833
_cell_length_c 4.6365
_cell_angle_alpha 90.00
_cell_angle_beta 90.00
_cell_angle_gamma 90.00
_space_group_name_H-M_alt 'P 1'
_space_group_IT_number 1
loop_
_space_group_symop_operation_xyz
'x,y,z'
loop_
_atom_site_label
_atom_site_type_symbol
_atom_site_fract_x
_atom_site_fract_y
_atom_site_fract_z
Ca1 Ca 0.1724 0.6724 0.5000
Ca2 Ca 0.6724 0.8276 0.5000
Ca3 Ca 0.8276 0.3276 0.5000
Ca4 Ca 0.3276 0.1724 0.5000
B1 B 0.0000 0.0000 0.0000
B2 B 0.5000 0.5000 0.0000
Rh1 Rh 0.3363 0.8363 0.0000
Rh2 Rh 0.8363 0.6637 0.0000
Rh3 Rh 0.6637 0.1637 0.0000
Rh4 Rh 0.1637 0.3363 0.0000
```

Output
* VASP energy: -5.318 eV per atom
* total magnetization: 0.00 μB per cell
* DFT formation energy: -0.24 eV/atom
* theoretical density: 5.744 Mg/m³
* SG: No. 127

=====

DFT (PBE) results for a relaxed CaBRh crystal.

The structure in CIF format:
```
data_CaBRh
_cell_length_a 3.3921
_cell_length_b 4.2990
_cell_length_c 7.0709
_cell_angle_alpha 84.15
_cell_angle_beta 90.03
_cell_angle_gamma 89.77
_space_group_name_H-M_alt 'P 1'
_space_group_IT_number 1
loop_
_space_group_symop_operation_xyz
'x,y,z'
loop_
_atom_site_label
_atom_site_type_symbol
_atom_site_fract_x
_atom_site_fract_y
_atom_site_fract_z
Ca1 Ca 0.0231 0.8055 0.7008
Ca2 Ca 0.5228 0.3701 0.3461
B1 B 0.0207 0.4339 0.0420
B2 B 0.5251 0.7417 0.0048
Rh1 Rh 0.5218 0.2729 0.9017
Rh2 Rh 0.0240 0.9027 0.1452
```

Output
* VASP energy: -5.698 eV per atom
* total magnetization: 0.00 μB per cell
* DFT formation energy: -0.35 eV/atom
* theoretical density: 4.979 Mg/m³
* SG: No. 2

=====

DFT (PBE) results for a relaxed CaBRh2 crystal.

The structure in CIF format:
```
data_CaBRh2
_cell_length_a 7.6221
_cell_length_b 5.4804
_cell_length_c 7.0825
_cell_angle_alpha 90.00
_cell_angle_beta 90.00
_cell_angle_gamma 90.00
_space_group_name_H-M_alt 'P 1'
_space_group_IT_number 1
loop_
_space_group_symop_operation_xyz
'x,y,z'
loop_
_atom_site_label
_atom_site_type_symbol
_atom_site_fract_x
_atom_site_fract_y
_atom_site_fract_z
Ca1 Ca 0.0000 0.2500 0.6473
Ca2 Ca 0.5000 0.7500 0.1517
Ca3 Ca 0.0000 0.7500 0.3527
Ca4 Ca 0.5000 0.2500 0.8483
B1 B 0.5000 0.7500 0.7104
B2 B 0.5000 0.2500 0.2896
B3 B 0.0000 0.2500 0.2350
B4 B 0.0000 0.7500 0.7650
Rh1 Rh 0.0000 0.0000 0.0000
Rh2 Rh 0.5000 0.5000 0.5000
Rh3 Rh 0.2567 0.7500 0.7943
Rh4 Rh 0.7433 0.2500 0.2057
Rh5 Rh 0.7433 0.7500 0.7943
Rh6 Rh 0.2567 0.2500 0.2057
Rh7 Rh 0.0000 0.5000 0.0000
Rh8 Rh 0.5000 0.0000 0.5000
```

Output
* VASP energy: -6.019 eV per atom
* total magnetization: 0.00 μB per cell
* DFT formation energy: -0.17 eV/atom
* theoretical density: 5.763 Mg/m³
* SG: No. 51

=====

DFT (PBE) results for a relaxed Ca2BRh2 crystal.

The structure in CIF format:
```
data_Ca2BRh2
_cell_length_a 6.0025
_cell_length_b 6.0025
_cell_length_c 6.2293
_cell_angle_alpha 80.43
_cell_angle_beta 80.43
_cell_angle_gamma 57.65
_space_group_name_H-M_alt 'P 1'
_space_group_IT_number 1
loop_
_space_group_symop_operation_xyz
'x,y,z'
loop_
_atom_site_label
_atom_site_type_symbol
_atom_site_fract_x
_atom_site_fract_y
_atom_site_fract_z
Ca1 Ca 0.4907 0.2279 0.1176
Ca2 Ca 0.7721 0.5093 0.3824
Ca3 Ca 0.5093 0.7721 0.8824
Ca4 Ca 0.2279 0.4907 0.6176
B1 B 0.0395 0.9605 0.2500
B2 B 0.9605 0.0395 0.7500
Rh1 Rh 0.7639 0.9978 0.5220
Rh2 Rh 0.0022 0.2361 0.9780
Rh3 Rh 0.2361 0.0022 0.4780
Rh4 Rh 0.9978 0.7639 0.0220
```

Output
* VASP energy: -5.539 eV per atom
* total magnetization: 0.00 μB per cell
* DFT formation energy: -0.46 eV/atom
* theoretical density: 5.295 Mg/m³
* SG: No. 15

=====

DFT (PBE) results for a relaxed Ca2B10Rh crystal.

The structure in CIF format:
```
data_Ca2B10Rh
_cell_length_a 4.1990
_cell_length_b 5.7165
_cell_length_c 11.4419
_cell_angle_alpha 90.00
_cell_angle_beta 90.00
_cell_angle_gamma 90.00
_space_group_name_H-M_alt 'P 1'
_space_group_IT_number 1
loop_
_space_group_symop_operation_xyz
'x,y,z'
loop_
_atom_site_label
_atom_site_type_symbol
_atom_site_fract_x
_atom_site_fract_y
_atom_site_fract_z
Ca1 Ca 0.5000 0.2909 0.8651
Ca2 Ca 0.5000 0.7091 0.1349
Ca3 Ca 0.5000 0.7909 0.6349
Ca4 Ca 0.5000 0.2091 0.3651
B1 B 0.0000 0.1167 0.5446
B2 B 0.0000 0.8833 0.4554
B3 B 0.0000 0.6167 0.9554
B4 B 0.0000 0.3833 0.0446
B5 B 0.0000 0.1409 0.6977
B6 B 0.0000 0.8591 0.3023
B7 B 0.3013 0.2175 0.1191
B8 B 0.3013 0.7825 0.8809
B9 B 0.6987 0.7175 0.3809
B10 B 0.6987 0.2825 0.6191
B11 B 0.6987 0.7825 0.8809
B12 B 0.6987 0.2175 0.1191
B13 B 0.3013 0.2825 0.6191
B14 B 0.3013 0.7175 0.3809
B15 B 0.0000 0.0536 0.1923
B16 B 0.0000 0.9464 0.8077
B17 B 0.0000 0.5536 0.3077
B18 B 0.0000 0.4464 0.6923
B19 B 0.0000 0.3591 0.1977
B20 B 0.0000 0.6409 0.8023
Rh1 Rh 0.0000 0.5000 0.5000
Rh2 Rh 0.0000 0.0000 0.0000
```

Output
* VASP energy: -6.399 eV per atom
* total magnetization: 0.00 μB per cell
* DFT formation energy: -0.39 eV/atom
* theoretical density: 3.521 Mg/m³
* SG: No. 55

=====

DFT (PBE) results for a relaxed Ca2B7Rh12 crystal.

The structure in CIF format:
```
data_Ca2B7Rh12
_cell_length_a 3.8877
_cell_length_b 8.8675
_cell_length_c 8.8676
_cell_angle_alpha 120.00
_cell_angle_beta 90.00
_cell_angle_gamma 90.00
_space_group_name_H-M_alt 'P 1'
_space_group_IT_number 1
loop_
_space_group_symop_operation_xyz
'x,y,z'
loop_
_atom_site_label
_atom_site_type_symbol
_atom_site_fract_x
_atom_site_fract_y
_atom_site_fract_z
Ca1 Ca 0.5000 0.0000 0.0000
Ca2 Ca 0.0000 0.6667 0.3333
B1 B 0.0000 0.3333 0.6667
B2 B 0.0000 0.0048 0.7563
B3 B 0.0000 0.7515 0.9952
B4 B 0.0000 0.2437 0.2485
B5 B 0.5000 0.6125 0.5620
B6 B 0.5000 0.9495 0.3875
B7 B 0.5000 0.4380 0.0505
Rh1 Rh 0.5000 0.8799 0.6145
Rh2 Rh 0.5000 0.7346 0.1201
Rh3 Rh 0.5000 0.3855 0.2654
Rh4 Rh 0.5000 0.2451 0.7887
Rh5 Rh 0.5000 0.5436 0.7549
Rh6 Rh 0.5000 0.2113 0.4564
Rh7 Rh 0.0000 0.0601 0.5535
Rh8 Rh 0.0000 0.4934 0.9399
Rh9 Rh 0.0000 0.4465 0.5066
Rh10 Rh 0.0000 0.7673 0.7553
Rh11 Rh 0.0000 0.9881 0.2327
Rh12 Rh 0.0000 0.2447 0.0119
```

Output
* VASP energy: -6.979 eV per atom
* total magnetization: 0.00 μB per cell
* DFT formation energy: -0.36 eV/atom
* theoretical density: 8.723 Mg/m³
* SG: No. 174